Entry 1:
Here is crystalline Ba8TeIr2 at its relaxed geometry from Alexandria via LeMat-Bulk. Energies are from PBE.

abc: 7.9037 9.5391 9.5389
angles: 120.00 90.01 90.00
With the nearest neighbours (Å) after each atom.
Sites, in units of the cell vectors:
Ba  0.7403  0.3447  0.1725  1 Ir 2.89
Ba  0.7403  0.8276  0.1723  1 Ir 2.89
Ba  0.2597  0.1724  0.8277  1 Ir 2.89
Ba  0.7402  0.8277  0.6553  1 Ir 2.89
Ba  0.2597  0.6553  0.8275  1 Ir 2.89
Ba  0.2598  0.1723  0.3447  1 Ir 2.89
Ba  0.2468  0.6667  0.3333  1 Ir 2.87
Ba  0.7532  0.3333  0.6667  1 Ir 2.87
Te  0.0000  0.0000  0.0000  6 Ba 3.51
Ir  0.8841  0.6667  0.3333  4 Ba 2.87-2.89
Ir  0.1159  0.3333  0.6666  4 Ba 2.87-2.89

Computed properties:
E = -3.490 eV/atom
Total magnetic moment = 0.00 Bohr magnetons per cell
SG = No. 164
Formation energy from raw total energies = -195 meV/atom

Entry 2:
Here is crystalline ZrMnRu2C at its relaxed geometry from Alexandria via LeMat-Bulk. Energies are from PBE.

abc: 4.1027 4.1027 3.9416
angles: 90.00 90.00 90.00
With the nearest neighbours (Å) after each atom.
Sites, in units of the cell vectors:
Mn  0.0000  0.0000  0.5000  2 C 1.97
C  0.0000  0.0000  0.0000  2 Mn 1.97, 4 Ru 2.05
Ru  0.5000  0.0000  0.0000  2 C 2.05
Ru  0.0000  0.5000  0.0000  2 C 2.05
Zr  0.5000  0.5000  0.5000  8 Ru 2.84, 4 Mn 2.90

Computed properties:
E = -9.353 eV/atom
Total magnetic moment = 1.17 Bohr magnetons per cell
SG = No. 123
Energy of formation = -0.254 eV/atom

Entry 3:
Here is crystalline In2Cu6Ag at its relaxed geometry from Alexandria via LeMat-Bulk. Energies are from PBE.

abc: 5.9561 5.9561 5.9561
angles: 60.00 60.00 60.00
With the nearest neighbours (Å) after each atom.
Sites, in units of the cell vectors:
Cu  0.7072  0.2928  0.7072  1 Ag 2.47, 4 Cu 2.47
Cu  0.7072  0.7072  0.2928  1 Ag 2.47, 4 Cu 2.47
Cu  0.2928  0.7072  0.7072  1 Ag 2.47, 4 Cu 2.47
Cu  0.2928  0.2928  0.7072  1 Ag 2.47, 4 Cu 2.47
Cu  0.2928  0.7072  0.2928  1 Ag 2.47, 4 Cu 2.47
Cu  0.7072  0.2928  0.2928  1 Ag 2.47, 4 Cu 2.47
In  0.7500  0.7500  0.7500  12 Cu 3.00
In  0.2500  0.2500  0.2500  12 Cu 3.00
Ag  0.0000  0.0000  0.0000  6 Cu 2.47

Computed properties:
E = -3.402 eV/atom
Total magnetic moment = 0.00 Bohr magnetons per cell
SG = No. 225
Energy of formation = 0.254 eV/atom

Entry 4:
Here is crystalline ErSc2AlPd4 at its relaxed geometry from Alexandria via LeMat-Bulk. Energies are from PBE.

abc: 4.6391 4.6391 8.1960
angles: 73.56 73.56 60.00
With the nearest neighbours (Å) after each atom.
Sites, in units of the cell vectors:
Pd  0.3877  0.3877  0.8369  1 Al 2.61, 3 Sc 2.80
Pd  0.6123  0.6123  0.1631  1 Al 2.61, 3 Sc 2.80
Pd  0.1278  0.1278  0.6166  4 Sc 2.71-2.83, 3 Al 2.83, 1 Er 2.97
Pd  0.8722  0.8722  0.3834  4 Sc 2.71-2.83, 3 Al 2.83, 1 Er 2.97
Er  0.0000  0.0000  0.0000  8 Pd 2.96-2.97
Al  0.5000  0.5000  0.5000  8 Pd 2.61-2.83
Sc  0.7555  0.7555  0.7334  7 Pd 2.71-2.83
Sc  0.2445  0.2445  0.2666  7 Pd 2.71-2.83

Computed properties:
E = -6.108 eV/atom
Total magnetic moment = 0.00 Bohr magnetons per cell
SG = No. 166
Energy of formation = -0.891 eV/atom

Entry 5:
Here is crystalline Th8TlPt2 at its relaxed geometry from Alexandria via LeMat-Bulk. Energies are from PBE.

abc: 6.3462 8.4815 8.4815
angles: 47.81 96.04 96.04
With the nearest neighbours (Å) after each atom.
Sites, in units of the cell vectors:
Tl  0.0000  0.0000  0.0000  6 Th 3.30-3.35
Th  0.8793  0.5809  0.5809  1 Pt 2.87, 1 Th 3.09
Th  0.1207  0.4191  0.4191  1 Pt 2.87, 1 Th 3.09
Th  0.8742  0.2037  0.2037  1 Pt 2.99, 1 Tl 3.35
Th  0.3798  0.8668  0.3628  2 Pt 2.94-2.97
Th  0.3798  0.3628  0.8668  2 Pt 2.94-2.97
Th  0.6202  0.6372  0.1332  2 Pt 2.94-2.97
Th  0.6202  0.1332  0.6372  2 Pt 2.94-2.97
Th  0.1258  0.7963  0.7963  1 Pt 2.99, 1 Tl 3.35
Pt  0.6627  0.7334  0.7334  6 Th 2.87-2.99
Pt  0.3373  0.2666  0.2666  6 Th 2.87-2.99

Computed properties:
E = -7.023 eV/atom
Total magnetic moment = 0.00 Bohr magnetons per cell
SG = No. 12
Energy of formation = -0.313 eV/atom

Entry 6:
Here is crystalline SrSnP2O6 at its relaxed geometry from Alexandria via LeMat-Bulk. Energies are from PBE.

abc: 4.9838 4.9838 7.2081
angles: 69.78 69.78 60.00
With the nearest neighbours (Å) after each atom.
Sites, in units of the cell vectors:
O  0.0194  0.4212  0.8083  1 P 1.61
O  0.4212  0.7511  0.8083  1 P 1.61
O  0.9806  0.5788  0.1917  1 P 1.61
O  0.5788  0.2489  0.1917  1 P 1.61
O  0.2489  0.9806  0.1917  1 P 1.61
O  0.7511  0.0194  0.8083  1 P 1.61
P  0.7605  0.7605  0.7186  3 O 1.61
P  0.2395  0.2395  0.2814  3 O 1.61
Sr  0.5000  0.5000  0.5000  6 O 2.74
Sn  0.0000  0.0000  0.0000  6 O 2.10

Computed properties:
E = -6.576 eV/atom
Total magnetic moment = 0.00 Bohr magnetons per cell
SG = No. 148
Formation energy from raw total energies = -1950 meV/atom

Entry 7:
Here is crystalline Nd3CdRu at its relaxed geometry from Alexandria via LeMat-Bulk. Energies are from PBE.

abc: 5.4678 5.4678 5.4678
angles: 90.00 90.00 90.00
With the nearest neighbours (Å) after each atom.
Sites, in units of the cell vectors:
Nd  0.0000  0.5000  0.0000  2 Ru 2.73
Nd  0.0000  0.0000  0.5000  2 Ru 2.73
Nd  0.5000  0.0000  0.0000  2 Ru 2.73
Cd  0.5000  0.5000  0.5000  12 Nd 3.87
Ru  0.0000  0.0000  0.0000  6 Nd 2.73

Computed properties:
Relative energy among the computed polymorphs = 181.6 meV/atom
E = -4.971 eV/atom
Total magnetic moment = 0.00 Bohr magnetons per cell
SG = No. 221
Energy of formation = -0.072 eV/atom

Entry 8:
Here is crystalline K3Ac3GaO8 at its relaxed geometry from Alexandria via LeMat-Bulk. Energies are from PBE.

abc: 7.3426 7.3380 7.6470
angles: 118.70 89.99 120.03
With the nearest neighbours (Å) after each atom.
Sites, in units of the cell vectors:
O  0.7967  0.0272  0.3239  1 Ga 2.15
O  0.2667  0.5334  0.3004  3 Ac 2.47
O  0.2033  0.9728  0.6761  1 Ga 2.15
O  0.7333  0.4666  0.6996  3 Ac 2.47
O  0.7971  0.5942  0.3242  1 Ga 2.15
O  0.2029  0.4058  0.6758  1 Ga 2.15
O  0.2305  0.0272  0.3239  1 Ga 2.15
O  0.7695  0.9728  0.6761  1 Ga 2.15
K  0.5000  0.5000  0.0000  6 O 2.85-2.87
K  0.0000  0.5000  0.0000  6 O 2.86-2.87
K  0.0000  0.0000  0.0000  6 O 2.85-2.87
Ac  0.5000  0.5000  0.5000  6 O 2.47-2.53
Ac  0.0000  0.5000  0.5000  6 O 2.47-2.54
Ac  0.5000  0.0000  0.5000  6 O 2.47-2.53
Ga  0.0000  0.0000  0.5000  6 O 2.15

Computed properties:
E = -6.105 eV/atom
Total magnetic moment = 0.95 Bohr magnetons per cell
SG = No. 12
Formation energy from raw total energies = -2218 meV/atom

Entry 9:
Here is crystalline Be2Fe2Cu at its relaxed geometry from Alexandria via LeMat-Bulk. Energies are from PBE.

abc: 5.8046 5.8046 2.9033
angles: 90.00 90.00 90.00
With the nearest neighbours (Å) after each atom.
Sites, in units of the cell vectors:
Be  0.6259  0.1259  0.0000  1 Be 2.07, 6 Fe 2.22-2.26, 2 Cu 2.29
Be  0.1259  0.3741  0.0000  1 Be 2.07, 6 Fe 2.22-2.26, 2 Cu 2.29
Be  0.8741  0.6259  0.0000  1 Be 2.07, 6 Fe 2.22-2.26, 2 Cu 2.29
Be  0.3741  0.8741  0.0000  1 Be 2.07, 6 Fe 2.22-2.26, 2 Cu 2.29
Fe  0.6696  0.8304  0.5000  6 Be 2.22-2.26
Fe  0.8304  0.3304  0.5000  6 Be 2.22-2.26
Fe  0.1696  0.6696  0.5000  6 Be 2.22-2.26
Fe  0.3304  0.1696  0.5000  6 Be 2.22-2.26
Cu  0.5000  0.5000  0.0000  4 Be 2.29
Cu  0.0000  0.0000  0.0000  4 Be 2.29

Computed properties:
Relative energy among the computed polymorphs = 0.0 meV/atom
E = -5.720 eV/atom
Total magnetic moment = 6.48 Bohr magnetons per cell
SG = No. 127
Energy of formation = -0.025 eV/atom

Entry 10:
Here is crystalline PmCoBiPd at its relaxed geometry from Alexandria via LeMat-Bulk. Energies are from PBE.

abc: 4.8822 4.8822 4.8822
angles: 60.00 60.00 60.00
With the nearest neighbours (Å) after each atom.
Sites, in units of the cell vectors:
Co  0.0000  0.0000  0.0000  4 Pm 2.99, 4 Bi 2.99
Bi  0.2500  0.2500  0.2500  4 Co 2.99, 4 Pd 2.99
Pd  0.5000  0.5000  0.5000  4 Pm 2.99, 4 Bi 2.99
Pm  0.7500  0.7500  0.7500  4 Co 2.99, 4 Pd 2.99

Computed properties:
E = -5.510 eV/atom
Total magnetic moment = 1.34 Bohr magnetons per cell
SG = No. 216
Energy of formation = -0.278 eV/atom

Entry 11:
Here is crystalline Tb2SmDy2Y at its relaxed geometry from Alexandria via LeMat-Bulk. Energies are from PBE.

abc: 3.3861 6.6116 17.7268
angles: 90.00 90.00 90.00
With the nearest neighbours (Å) after each atom.
Sites, in units of the cell vectors:
Sm  0.5000  0.5000  0.0000  2 Sm 3.39, 4 Dy 3.49, 4 Y 3.71
Sm  0.0000  0.0000  0.5000  2 Sm 3.39, 4 Dy 3.49, 4 Y 3.71
Y  0.5000  0.5000  0.5000  2 Dy 3.18, 2 Y 3.39
Y  0.0000  0.0000  0.0000  2 Dy 3.18, 2 Y 3.39
Dy  0.0000  0.7309  0.8510  1 Y 3.18, 4 Tb 3.35-3.42, 2 Dy 3.39, 2 Sm 3.49
Dy  0.0000  0.2691  0.1490  1 Y 3.18, 4 Tb 3.35-3.42, 2 Dy 3.39, 2 Sm 3.49
Dy  0.5000  0.2309  0.6490  1 Y 3.18, 4 Tb 3.35-3.42, 2 Dy 3.39, 2 Sm 3.49
Dy  0.5000  0.7691  0.3510  1 Y 3.18, 4 Tb 3.35-3.42, 2 Dy 3.39, 2 Sm 3.49
Tb  0.0000  0.7673  0.1831  4 Dy 3.35-3.42, 2 Tb 3.39, 1 Y 3.59
Tb  0.5000  0.7327  0.6831  4 Dy 3.35-3.42, 2 Tb 3.39, 1 Y 3.59
Tb  0.0000  0.2327  0.8169  4 Dy 3.35-3.42, 2 Tb 3.39, 1 Y 3.59
Tb  0.5000  0.2673  0.3169  4 Dy 3.35-3.42, 2 Tb 3.39, 1 Y 3.59

Computed properties:
E = -4.669 eV/atom
Total magnetic moment = 0.00 Bohr magnetons per cell
SG = No. 58
Energy of formation = 0.272 eV/atom

Entry 12:
Here is crystalline NaGeH at its relaxed geometry from Alexandria via LeMat-Bulk. Energies are from PBE.

abc: 3.5039 5.9136 5.9145
angles: 98.40 72.77 72.77
With the nearest neighbours (Å) after each atom.
Sites, in units of the cell vectors:
H  0.5529  0.8964  0.9977  2 Ge 1.88
H  0.9547  0.4945  0.5962  2 Ge 1.88
Ge  0.0759  0.7989  0.0493  2 H 1.88
Ge  0.4322  0.4424  0.6931  2 H 1.88
Na  0.2539  0.9551  0.5372  6 H 2.98-3.22, 6 Ge 3.19-3.24
Na  0.7537  0.3527  0.1399  6 Ge 3.04-3.22, 6 H 3.05-3.37

Computed properties:
Relative energy among the computed polymorphs = 223.9 meV/atom
E = -2.997 eV/atom
Total magnetic moment = 0.00 Bohr magnetons per cell
SG = No. 44